AcCe2SmSe5, relaxed, DFT PBE; uncorrected energy = -5.53 eV per atom
1.0
5.2637 0.0000 0.0000
0.0000 5.2637 0.0000
0.0000 0.0000 11.4510
Ac Ce Sm Se
1 2 1 5
direct
0.0000 0.0000 0.0000
0.5000 0.5000 0.3389
0.5000 0.5000 0.6611
0.0000 0.0000 0.5000
0.0000 0.0000 0.2532
0.0000 0.0000 0.7468
0.0000 0.5000 0.5000
0.5000 0.0000 0.5000
0.5000 0.5000 0.0000

***

ScHgI3, relaxed, DFT PBE; energy relative to the lowest polymorph listed for this composition = 0.5215 eV per atom; uncorrected energy = -2.71 eV per atom
1.0
4.9377 0.0000 0.0000
-2.4688 4.2762 0.0000
0.0000 0.0000 21.1034
Sc Hg I
2 2 6
direct
0.0000 0.0000 0.0000
0.0000 0.0000 0.5000
0.3333 0.6667 0.2500
0.6667 0.3333 0.7500
0.0000 0.0000 0.2500
0.0000 0.0000 0.7500
0.3333 0.6667 0.0660
0.3333 0.6667 0.4340
0.6667 0.3333 0.5660
0.6667 0.3333 0.9340

***

CdSnSCl2, relaxed, DFT PBE; energy relative to the lowest polymorph listed for this composition = 0.0675 eV per atom; uncorrected energy = -2.86 eV per atom
1.0
5.2449 0.0000 0.0000
0.0000 5.2449 0.0000
0.0000 0.0000 5.1351
Cd Sn S Cl
1 1 1 2
direct
0.0000 0.0000 0.0000
0.5000 0.5000 0.5000
0.5000 0.5000 0.0000
0.0000 0.5000 0.5000
0.5000 0.0000 0.5000

***

PaInPd2, relaxed, DFT PBE; energy of formation = -0.540 eV per atom; uncorrected energy = -6.20 eV per atom
1.0
6.8656 0.0000 0.0000
0.0000 6.8656 0.0000
0.0000 0.0000 6.8656
Pa In Pd
4 4 8
direct
0.0000 0.0000 0.0000
0.0000 0.5000 0.5000
0.5000 0.0000 0.5000
0.5000 0.5000 0.0000
0.0000 0.0000 0.5000
0.0000 0.5000 0.0000
0.5000 0.0000 0.0000
0.5000 0.5000 0.5000
0.2500 0.2500 0.2500
0.2500 0.2500 0.7500
0.2500 0.7500 0.2500
0.2500 0.7500 0.7500
0.7500 0.2500 0.2500
0.7500 0.2500 0.7500
0.7500 0.7500 0.2500
0.7500 0.7500 0.7500

***

Dy2TmMgHg4, relaxed, DFT PBE; energy of formation = -0.471 eV per atom; uncorrected energy = -2.53 eV per atom
1.0
2.5692 1.4833 8.5006
-2.5692 1.4833 8.5006
0.0000 -2.9666 8.5006
Dy Tm Mg Hg
2 1 1 4
direct
0.2458 0.2458 0.2458
0.7542 0.7542 0.7542
0.0000 0.0000 0.0000
0.5000 0.5000 0.5000
0.1243 0.1243 0.1243
0.3729 0.3729 0.3729
0.6271 0.6271 0.6271
0.8757 0.8757 0.8757

***

CoTc2Pt, relaxed, DFT PBE; energy of formation = 0.162 eV per atom; energy relative to the lowest polymorph listed for this composition = 0.2107 eV per atom; uncorrected energy = -8.31 eV per atom
1.0
3.1985 0.0000 0.0000
0.0000 3.1985 0.0000
0.0000 0.0000 5.5475
Co Tc Pt
1 2 1
direct
0.0000 0.0000 0.0000
0.5000 0.5000 0.2138
0.5000 0.5000 0.7862
0.0000 0.0000 0.5000

***

Y5U3As8, relaxed, DFT PBE; energy of formation = -1.245 eV per atom; uncorrected energy = -7.71 eV per atom
1.0
4.0920 2.3625 6.7494
-4.0920 2.3625 6.7494
0.0000 -4.7251 6.7494
Y U As
5 3 8
direct
0.0000 0.0000 0.0000
0.0000 0.5000 0.5000
0.5000 0.0000 0.5000
0.5000 0.5000 0.0000
0.5000 0.5000 0.5000
0.0000 0.0000 0.5000
0.0000 0.5000 0.0000
0.5000 0.0000 0.0000
0.2465 0.7501 0.7501
0.2494 0.2494 0.2494
0.2499 0.2499 0.7535
0.2499 0.7535 0.2499
0.7501 0.2465 0.7501
0.7501 0.7501 0.2465
0.7506 0.7506 0.7506
0.7535 0.2499 0.2499

***

AlGaAu2S, relaxed, DFT PBE; uncorrected energy = -3.39 eV per atom
1.0
5.0072 0.0000 0.0000
0.0000 5.0072 0.0000
0.0000 0.0000 4.6130
Al Ga Au S
1 1 2 1
direct
0.0000 0.0000 0.0000
0.5000 0.5000 0.5000
0.0000 0.5000 0.0000
0.5000 0.0000 0.0000
0.0000 0.0000 0.5000

***

FeSiRu2, relaxed, DFT PBE; uncorrected energy = -8.23 eV per atom
1.0
2.7577 0.0000 0.0000
0.0000 3.7189 0.0000
0.0000 0.0000 5.0788
Fe Si Ru
1 1 2
direct
0.0000 0.0000 0.0000
0.5000 0.5000 0.7281
0.0000 0.0000 0.5170
0.5000 0.5000 0.2074

***

CaMo2Ru, relaxed, DFT PBE; energy of formation = 0.716 eV per atom; energy relative to the lowest polymorph listed for this composition = 0.3060 eV per atom; uncorrected energy = -7.52 eV per atom
1.0
3.8078 0.0000 0.0000
0.0000 3.8078 0.0000
0.0000 0.0000 4.8364
Ca Mo Ru
1 2 1
direct
0.0000 0.0000 0.0000
0.0000 0.5000 0.5000
0.5000 0.0000 0.5000
0.5000 0.5000 0.0000

***

SiP2Ru, relaxed, DFT PBE; uncorrected energy = -6.54 eV per atom
1.0
4.0582 0.0000 0.0000
1.8151 3.6522 0.0000
0.3328 0.0913 4.3487
Si P Ru
1 2 1
direct
0.0000 0.0000 0.0000
0.1734 0.5097 0.3267
0.7069 0.6715 0.6725
0.3863 0.2893 0.8240

***

Ba3ZnSb3, relaxed, DFT PBE; uncorrected energy = -3.63 eV per atom
1.0
10.6502 -3.6010 0.0000
10.6502 3.6010 0.0000
0.0000 0.0000 14.2672
Ba Zn Sb
12 4 12
direct
0.0350 0.6224 0.1294
0.1224 0.5350 0.6294
0.2021 0.7979 0.8568
0.2979 0.7021 0.3568
0.3776 0.9650 0.1294
0.4650 0.8776 0.6294
0.5350 0.1224 0.3706
0.6224 0.0350 0.8706
0.7021 0.2979 0.6432
0.7979 0.2021 0.1432
0.8776 0.4650 0.3706
0.9650 0.3776 0.8706
0.0844 0.0844 0.5000
0.4156 0.4156 0.0000
0.5844 0.5844 0.0000
0.9156 0.9156 0.5000
0.0453 0.6332 0.3826
0.1332 0.5453 0.8826
0.2097 0.7903 0.6047
0.2903 0.7097 0.1047
0.3668 0.9547 0.3826
0.4547 0.8668 0.8826
0.5453 0.1332 0.1174
0.6332 0.0453 0.6174
0.7097 0.2903 0.8953
0.7903 0.2097 0.3953
0.8668 0.4547 0.1174
0.9547 0.3668 0.6174

***

AlCrW2C, relaxed, DFT PBE; energy of formation = 1.507 eV per atom; uncorrected energy = -8.19 eV per atom
1.0
4.6490 0.0000 0.0000
0.0000 4.6490 0.0000
0.0000 0.0000 3.6311
Al Cr W C
1 1 2 1
direct
0.0000 0.0000 0.0000
0.5000 0.5000 0.5000
0.0000 0.5000 0.5000
0.5000 0.0000 0.5000
0.5000 0.5000 0.0000